# MoPbCl

A PBEsol-optimized structure of MoPbCl (SCAN, Alexandria via LeMat-Bulk).

Results
- spin magnetization (μB per cell) = 1.38
- volume (A^3/atom) = 18.9
- offset from the most stable computed form (eV/atom) = 0.454
- raw total energy (eV per cell) = -117.2

```
data_MoPbCl
_chemical_formula_sum 'Mo1 Pb1 Cl1'
_cell_length_a 4.5206
_cell_length_b 4.5206
_cell_length_c 3.2087
_cell_angle_alpha 90.00
_cell_angle_beta 90.00
_cell_angle_gamma 120.00
_symmetry_space_group_name_H-M 'P -6 m 2'
_symmetry_Int_Tables_number 187
_symmetry_space_group_name_Hall 'P -6 2'
loop_
_atom_site_label
_atom_site_type_symbol
_atom_site_fract_x
_atom_site_fract_y
_atom_site_fract_z
_atom_site_occupancy
Mo1 Mo 0.0000 0.0000 0.0000 1
Pb1 Pb 0.6667 0.3333 0.5000 1
Cl1 Cl 0.3333 0.6667 0.0000 1
```